A relaxed SrPr3Se4 crystal, computed with GGA-PBE.

Geometry as POSCAR:
```
SrPr3Se4
1.0
4.3152 0.0000 0.0000
0.0000 6.0496 0.0000
0.0000 0.0000 8.6447
Pr Se Sr
3 4 1
direct
0.0000 0.0000 0.5000
0.5000 0.5000 0.2642
0.5000 0.5000 0.7358
0.0000 0.5000 0.0000
0.0000 0.5000 0.5000
0.5000 0.0000 0.2520
0.5000 0.0000 0.7480
0.0000 0.0000 0.0000
```

Results
The calculation puts the final energy at -5.629 eV/atom. As for the uncorrected formation energy: -1.88 eV/atom. The relative energy among the computed polymorphs is 0 meV per atom. The value obtained for the density of states at the Fermi level is 2.597 states/eV per cell.

A relaxed Ba2NaIr crystal, computed with GGA-PBE.

Geometry as POSCAR:
```
Ba2NaIr
1.0
3.8686 0.0000 0.0000
0.0000 3.8686 0.0000
0.0000 0.0000 9.9897
Ba Ir Na
2 1 1
direct
0.0000 0.0000 0.1777
0.0000 0.0000 0.8223
0.5000 0.5000 0.0000
0.5000 0.5000 0.5000
```

Results
The calculation puts the final energy at -3.527 eV/atom. The formation energy is -21 meV/atom. The relative energy among the computed polymorphs is 69 meV per atom. The value obtained for the density of states at the Fermi level is 1.677 states/eV per cell.

A relaxed TbAgSn crystal, computed with GGA-PBE.

Geometry as POSCAR:
```
TbAgSn
1.0
4.7851 0.0000 0.0000
2.3925 5.4771 -0.4370
2.3925 -0.3401 5.4840
Ag Tb Sn
2 2 2
direct
0.7169 0.5966 0.9696
0.2831 0.0304 0.4034
0.5000 0.1579 0.8421
0.0000 0.6334 0.3666
0.2428 0.7379 0.7766
0.7572 0.2234 0.2621
```

Results
The calculation puts the final energy at -4.365 eV/atom. The formation energy is -537 meV/atom. The value obtained for the density of states at the Fermi level is 3.182 states/eV per cell.